Record 1
VASP calculation (PBE-GGA) on an optimized crystal structure of Rb2TbMgF6.

Summary:
V ... 16.9 Å³/atom
E_tot ... -0.18647 Ha/atom
Space group ... Immm, No. 71

Cell: 6.2006 6.2006 6.2006 Å, 122.82 116.19 90.95°
Last column: nearest neighbours and their distance in Å.
Fractional coordinates of all 10 atoms:
Rb (0.2439, 0.2439, 0.0000)  12 F 2.93-3.28
Rb (0.7561, 0.7561, 0.0000)  12 F 2.93-3.28
Tb (0.5000, 0.0000, 0.5000)  6 F 2.25-2.37
Mg (0.0000, 0.5000, 0.5000)  6 F 2.07-2.10
F (0.2148, 0.2445, 0.4592)  1 Mg 2.07
F (0.2148, 0.7555, 0.9703)  1 Mg 2.07
F (0.2413, 0.7413, 0.5000)  1 Mg 2.10, 1 Tb 2.25
F (0.7587, 0.2587, 0.5000)  1 Mg 2.10, 1 Tb 2.25
F (0.7852, 0.2445, 0.0297)  1 Mg 2.07
F (0.7852, 0.7555, 0.5408)  1 Mg 2.07

***

Record 2
VASP calculation (PBE-GGA) on an optimized crystal structure of Ba2Ga12PdPt3.

Summary:
V ... 27.8 Å³/atom
E_tot ... -0.14109 Ha/atom
E_form ... -0.3123 eV/atom
Space group ... R-3m, No. 166

Cell: 8.1798 8.1798 8.1798 Å, 75.15 75.15 75.15°
Last column: nearest neighbours and their distance in Å.
Fractional coordinates of all 18 atoms:
Ba (0.1971, 0.1971, 0.1971)  6 Ga 3.18-3.55
Ba (0.8029, 0.8029, 0.8029)  6 Ga 3.18-3.55
Ga (0.1790, 0.6274, 0.6274)  1 Pt 2.54, 1 Pd 2.61, 3 Ga 2.69-2.72
Ga (0.2668, 0.2668, 0.5827)  2 Pt 2.61, 1 Ga 2.72, 1 Pd 2.88
Ga (0.2668, 0.5827, 0.2668)  2 Pt 2.61, 1 Ga 2.72, 1 Pd 2.88
Ga (0.3726, 0.3726, 0.8210)  1 Pt 2.54, 1 Pd 2.61, 3 Ga 2.69-2.72
Ga (0.3726, 0.8210, 0.3726)  1 Pt 2.54, 1 Pd 2.61, 3 Ga 2.69-2.72
Ga (0.4173, 0.7332, 0.7332)  2 Pt 2.61, 1 Ga 2.72, 1 Pd 2.88
Ga (0.5827, 0.2668, 0.2668)  2 Pt 2.61, 1 Ga 2.72, 1 Pd 2.88
Ga (0.6274, 0.1790, 0.6274)  1 Pt 2.54, 1 Pd 2.61, 3 Ga 2.69-2.72
Ga (0.6274, 0.6274, 0.1790)  1 Pt 2.54, 1 Pd 2.61, 3 Ga 2.69-2.72
Ga (0.7332, 0.4173, 0.7332)  2 Pt 2.61, 1 Ga 2.72, 1 Pd 2.88
Ga (0.7332, 0.7332, 0.4173)  2 Pt 2.61, 1 Ga 2.72, 1 Pd 2.88
Ga (0.8210, 0.3726, 0.3726)  1 Pt 2.54, 1 Pd 2.61, 3 Ga 2.69-2.72
Pd (0.5000, 0.5000, 0.5000)  12 Ga 2.61-2.88
Pt (0.0000, 0.5000, 0.5000)  6 Ga 2.54-2.61
Pt (0.5000, 0.0000, 0.5000)  6 Ga 2.54-2.61
Pt (0.5000, 0.5000, 0.0000)  6 Ga 2.54-2.61

***

Record 3
VASP calculation (PBE-GGA) on an optimized crystal structure of BaLiCa5.

Summary:
V ... 43.5 Å³/atom
E_tot ... -0.06910 Ha/atom
E_form ... 0.0973 eV/atom
Space group ... P4/mmm, No. 123

Cell: 5.5732 5.5732 9.8114 Å, 90.00 90.00 90.00°
Last column: nearest neighbours and their distance in Å.
Fractional coordinates of all 7 atoms:
Ba (0.0000, 0.0000, 0.0000)  12 Ca 3.94-4.09
Li (0.0000, 0.0000, 0.5000)  8 Ca 3.38
Ca (0.0000, 0.5000, 0.3049)  2 Li 3.38
Ca (0.0000, 0.5000, 0.6951)  2 Li 3.38
Ca (0.5000, 0.0000, 0.3049)  2 Li 3.38
Ca (0.5000, 0.0000, 0.6951)  2 Li 3.38
Ca (0.5000, 0.5000, 0.0000)  4 Ba 3.94, 8 Ca 4.09

***

Record 4
VASP calculation (PBE-GGA) on an optimized crystal structure of MgScTl3.

Summary:
V ... 36.1 Å³/atom
Energy above the most stable polymorph in this dataset ... 0.003 eV per atom
E_tot ... -0.09467 Ha/atom
E_form ... 0.4289 eV/atom
Space group ... Pm-3m, No. 221

Cell: 5.6527 5.6527 5.6527 Å, 90.00 90.00 90.00°
Last column: nearest neighbours and their distance in Å.
Fractional coordinates of all 5 atoms:
Mg (0.0000, 0.0000, 0.0000)  12 Tl 4.00
Sc (0.5000, 0.5000, 0.5000)  6 Tl 2.83
Tl (0.0000, 0.5000, 0.5000)  2 Sc 2.83
Tl (0.5000, 0.0000, 0.5000)  2 Sc 2.83
Tl (0.5000, 0.5000, 0.0000)  2 Sc 2.83

***

Record 5
VASP calculation (PBE-GGA) on an optimized crystal structure of Nd2Ho7Tm4.

Summary:
V ... 32.2 Å³/atom
E_tot ... -0.16082 Ha/atom
E_form ... 0.1982 eV/atom
Space group ... P-31m, No. 162

Cell: 6.0341 6.0341 13.2583 Å, 90.00 90.00 120.00°
Last column: nearest neighbours and their distance in Å.
Fractional coordinates of all 13 atoms:
Nd (0.3333, 0.6667, 0.0000)  9 Ho 3.48-3.49, 3 Nd 3.48
Nd (0.6667, 0.3333, 0.0000)  9 Ho 3.48-3.49, 3 Nd 3.48
Ho (0.0000, 0.0000, 0.0000)  6 Nd 3.48, 6 Ho 3.59
Ho (0.0000, 0.3527, 0.2180)  1 Tm 3.17, 4 Ho 3.39, 2 Nd 3.49
Ho (0.0000, 0.6473, 0.7820)  1 Tm 3.17, 4 Ho 3.39, 2 Nd 3.49
Ho (0.3527, 0.0000, 0.2180)  1 Tm 3.17, 4 Ho 3.39, 2 Nd 3.49
Ho (0.3527, 0.3527, 0.7820)  1 Tm 3.17, 4 Ho 3.39, 2 Nd 3.49
Ho (0.6473, 0.0000, 0.7820)  1 Tm 3.17, 4 Ho 3.39, 2 Nd 3.49
Ho (0.6473, 0.6473, 0.2180)  1 Tm 3.17, 4 Ho 3.39, 2 Nd 3.49
Tm (0.0000, 0.0000, 0.3955)  1 Tm 2.77
Tm (0.0000, 0.0000, 0.6045)  1 Tm 2.77
Tm (0.3333, 0.6667, 0.5000)  9 Tm 3.48-3.75
Tm (0.6667, 0.3333, 0.5000)  9 Tm 3.48-3.75

***

Record 6
VASP calculation (PBE-GGA) on an optimized crystal structure of BaLa3Ir.

Summary:
V ... 34.6 Å³/atom
Energy above the most stable polymorph in this dataset ... 0.172 eV per atom
E_tot ... -0.19331 Ha/atom
E_form ... -0.1470 eV/atom
Space group ... Cmcm, No. 63

Cell: 8.2715 8.2715 6.5286 Å, 90.00 90.00 129.24°
Last column: nearest neighbours and their distance in Å.
Fractional coordinates of all 10 atoms:
Ba (0.0742, 0.9258, 0.7500)  2 Ir 3.81, 10 La 3.85-4.16, 2 Ba 3.95
Ba (0.9258, 0.0742, 0.2500)  2 Ir 3.81, 10 La 3.85-4.16, 2 Ba 3.95
La (0.0678, 0.4557, 0.7500)  1 Ir 2.78
La (0.4557, 0.0678, 0.2500)  1 Ir 2.78
La (0.5000, 0.5000, 0.0000)  2 Ir 2.99, 2 La 3.26
La (0.5000, 0.5000, 0.5000)  2 Ir 2.99, 2 La 3.26
La (0.5443, 0.9322, 0.7500)  1 Ir 2.78
La (0.9322, 0.5443, 0.2500)  1 Ir 2.78
Ir (0.3326, 0.6674, 0.2500)  4 La 2.78-2.99
Ir (0.6674, 0.3326, 0.7500)  4 La 2.78-2.99

***

Record 7
VASP calculation (PBE-GGA) on an optimized crystal structure of TbTh3In4.

Summary:
V ... 28.6 Å³/atom
Energy above the most stable polymorph in this dataset ... 0.000 eV per atom
E_tot ... -0.18397 Ha/atom
E_form ... -0.2755 eV/atom
Space group ... Pmmm, No. 47

Cell: 3.3189 5.8737 11.7349 Å, 90.00 90.00 90.00°
Last column: nearest neighbours and their distance in Å.
Fractional coordinates of all 8 atoms:
Tb (0.0000, 0.0000, 0.0000)  8 In 3.31-3.37, 2 Tb 3.32
Th (0.0000, 0.0000, 0.5000)  2 Th 3.32, 8 In 3.37-3.43
Th (0.0000, 0.5000, 0.2493)  2 Th 3.32, 8 In 3.36-3.38
Th (0.0000, 0.5000, 0.7507)  2 Th 3.32, 8 In 3.36-3.38
In (0.5000, 0.0000, 0.2444)  2 Tb 3.31, 2 In 3.32, 6 Th 3.37-3.43
In (0.5000, 0.0000, 0.7556)  2 Tb 3.31, 2 In 3.32, 6 Th 3.37-3.43
In (0.5000, 0.5000, 0.0000)  2 In 3.32, 4 Th 3.36, 4 Tb 3.37
In (0.5000, 0.5000, 0.5000)  2 In 3.32, 8 Th 3.37-3.38

***

Record 8
VASP calculation (PBE-GGA) on an optimized crystal structure of Tl2CdGeCl6.

Summary:
V ... 28.9 Å³/atom
E_tot ... -0.11390 Ha/atom
Space group ... R3, No. 146

Cell: 7.4108 7.4108 7.4108 Å, 60.16 60.16 60.16°
Last column: nearest neighbours and their distance in Å.
Fractional coordinates of all 10 atoms:
Tl (0.0000, 0.0000, 0.0000)  6 Cl 3.25-3.41
Tl (0.4969, 0.4969, 0.4969)  6 Cl 3.28-3.36
Cd (0.7655, 0.7655, 0.7655)  6 Cl 2.63-2.70
Ge (0.2651, 0.2651, 0.2651)  6 Cl 2.63-2.71
Cl (0.0266, 0.4541, 0.5845)  1 Cd 2.63, 1 Ge 2.71
Cl (0.0817, 0.9558, 0.5258)  1 Ge 2.63, 1 Cd 2.70
Cl (0.4541, 0.5845, 0.0266)  1 Cd 2.63, 1 Ge 2.71
Cl (0.5258, 0.0817, 0.9558)  1 Ge 2.63, 1 Cd 2.70
Cl (0.5845, 0.0266, 0.4541)  1 Cd 2.63, 1 Ge 2.71
Cl (0.9558, 0.5258, 0.0817)  1 Ge 2.63, 1 Cd 2.70

***

Record 9
VASP calculation (PBE-GGA) on an optimized crystal structure of SbPt3F.

Summary:
V ... 17.7 Å³/atom
Energy above the most stable polymorph in this dataset ... 0.000 eV per atom
E_tot ... -0.15942 Ha/atom
Space group ... Pm-3m, No. 221

Cell: 4.4592 4.4592 4.4592 Å, 90.00 90.00 90.00°
Last column: nearest neighbours and their distance in Å.
Fractional coordinates of all 5 atoms:
Sb (0.0000, 0.0000, 0.0000)  12 Pt 3.15
Pt (0.0000, 0.5000, 0.5000)  2 F 2.23
Pt (0.5000, 0.0000, 0.5000)  2 F 2.23
Pt (0.5000, 0.5000, 0.0000)  2 F 2.23
F (0.5000, 0.5000, 0.5000)  6 Pt 2.23

***

Record 10
VASP calculation (PBE-GGA) on an optimized crystal structure of LaTbSnTe.

Summary:
V ... 32.7 Å³/atom
E_tot ... -0.19482 Ha/atom
Space group ... R3m, No. 160

Cell: 7.8411 7.8411 7.8411 Å, 33.51 33.51 33.51°
Last column: nearest neighbours and their distance in Å.
Fractional coordinates of all 4 atoms:
La (0.0000, 0.0000, 0.0000)  3 Sn 3.20, 3 Te 3.30
Tb (0.4927, 0.4927, 0.4927)  3 Sn 3.10, 3 Te 3.19
Sn (0.7503, 0.7503, 0.7503)  3 Tb 3.10, 3 La 3.20
Te (0.2420, 0.2420, 0.2420)  3 Tb 3.19, 3 La 3.30

***

Record 11
VASP calculation (PBE-GGA) on an optimized crystal structure of CeZn9Au2.

Summary:
V ... 16.9 Å³/atom
Energy above the most stable polymorph in this dataset ... 0.000 eV per atom
E_tot ... -0.08347 Ha/atom
E_form ... -0.2753 eV/atom
Space group ... I4_1/amd, No. 141

Cell: 8.3786 8.3786 8.3786 Å, 99.96 99.96 130.86°
Last column: nearest neighbours and their distance in Å.
Fractional coordinates of all 24 atoms:
Ce (0.3750, 0.6250, 0.7500)  18 Zn 3.32-3.48
Ce (0.6250, 0.3750, 0.2500)  18 Zn 3.32-3.48
Zn (0.1250, 0.8750, 0.2500)  4 Au 2.83, 8 Zn 2.95
Zn (0.1302, 0.5515, 0.3366)  5 Zn 2.57-2.70, 2 Au 2.67-2.69
Zn (0.1302, 0.7936, 0.5787)  5 Zn 2.57-2.70, 2 Au 2.67-2.69
Zn (0.2064, 0.2851, 0.3366)  5 Zn 2.57-2.70, 2 Au 2.67-2.69
Zn (0.2064, 0.8698, 0.9213)  5 Zn 2.57-2.70, 2 Au 2.67-2.69
Zn (0.2851, 0.2064, 0.8366)  5 Zn 2.57-2.70, 2 Au 2.67-2.69
Zn (0.2851, 0.4485, 0.0787)  5 Zn 2.57-2.70, 2 Au 2.67-2.69
Zn (0.4485, 0.2851, 0.5787)  5 Zn 2.57-2.70, 2 Au 2.67-2.69
Zn (0.4485, 0.8698, 0.1634)  5 Zn 2.57-2.70, 2 Au 2.67-2.69
Zn (0.5515, 0.1302, 0.8366)  5 Zn 2.57-2.70, 2 Au 2.67-2.69
Zn (0.5515, 0.7149, 0.4213)  5 Zn 2.57-2.70, 2 Au 2.67-2.69
Zn (0.7149, 0.5515, 0.9213)  5 Zn 2.57-2.70, 2 Au 2.67-2.69
Zn (0.7149, 0.7936, 0.1634)  5 Zn 2.57-2.70, 2 Au 2.67-2.69
Zn (0.7936, 0.1302, 0.0787)  5 Zn 2.57-2.70, 2 Au 2.67-2.69
Zn (0.7936, 0.7149, 0.6634)  5 Zn 2.57-2.70, 2 Au 2.67-2.69
Zn (0.8698, 0.2064, 0.4213)  5 Zn 2.57-2.70, 2 Au 2.67-2.69
Zn (0.8698, 0.4485, 0.6634)  5 Zn 2.57-2.70, 2 Au 2.67-2.69
Zn (0.8750, 0.1250, 0.7500)  4 Au 2.83, 8 Zn 2.95
Au (0.0000, 0.0000, 0.0000)  10 Zn 2.67-2.83
Au (0.0000, 0.0000, 0.5000)  10 Zn 2.67-2.83
Au (0.0000, 0.5000, 0.0000)  10 Zn 2.67-2.83
Au (0.5000, 0.0000, 0.5000)  10 Zn 2.67-2.83

***

Record 12
VASP calculation (PBE-GGA) on an optimized crystal structure of Ac2PrPd.

Summary:
V ... 36.9 Å³/atom
Energy above the most stable polymorph in this dataset ... 0.538 eV per atom
E_tot ... -0.16179 Ha/atom
E_form ... 0.1448 eV/atom
Space group ... R-3m, No. 166

Cell: 12.0148 12.0148 12.0148 Å, 18.18 18.18 18.18°
Last column: nearest neighbours and their distance in Å.
Fractional coordinates of all 4 atoms:
Ac (0.0781, 0.0781, 0.0781)  1 Pd 2.77
Ac (0.9219, 0.9219, 0.9219)  1 Pd 2.77
Pr (0.5000, 0.5000, 0.5000)  6 Pr 3.80, 6 Ac 3.83
Pd (0.0000, 0.0000, 0.0000)  2 Ac 2.77